The following is a DFT calculation (PBE-GGA) of a relaxed AgAs3 crystal.

Computed properties:
energy of formation from the pure elements	0.391	eV/atom
magnetic moment	0.00	μB/f.u.
raw total energy	-0.140	Ha/atom
ΔE to the lowest computed polymorph	261.1	meV/atom

Cell: 2.9011 4.5153 5.9942 Å, 90.00 90.00 90.00°
Last column: nearest neighbours and their distance in Å.
Space group Pmmm (No. 47)
Asymmetric unit:
Ag 0.0000 0.0000 0.0000  2 Ag 2.90, 10 As 3.00
As 0.0000 0.0000 0.5000  10 As 2.90-3.16, 2 Ag 3.00
As 0.5000 0.5000 0.2221  3 As 2.66-2.90

***

The following is a DFT calculation (PBE-GGA) of a relaxed Ag5As crystal.

Computed properties:
energy of formation from the pure elements	0.067	eV/atom
magnetic moment	0.00	μB/f.u.
raw total energy	-0.113	Ha/atom
ΔE to the lowest computed polymorph	1.5	meV/atom

Cell: 10.8912 2.9426 7.0321 Å, 90.00 104.75 90.00°
Last column: nearest neighbours and their distance in Å.
Space group Cm (No. 8)
Asymmetric unit:
Ag 0.0000 0.0000 0.0000  9 Ag 2.93-2.99, 3 As 2.93-2.95
Ag 0.0500 0.0000 0.6097  10 Ag 2.92-2.95, 2 As 3.03
Ag 0.1644 0.5000 0.3339  1 As 2.92, 11 Ag 2.93-2.96
Ag 0.3276 0.0000 0.6677  2 As 2.93, 10 Ag 2.94-2.99
Ag 0.3887 0.0000 0.2809  10 Ag 2.92-2.96, 2 As 2.95
As 0.2229 0.5000 0.9506  10 Ag 2.92-3.03, 2 As 2.94

***

The following is a DFT calculation (PBE-GGA) of a relaxed AgAs3 crystal.

Computed properties:
energy of formation from the pure elements	0.390	eV/atom
magnetic moment	0.00	μB/f.u.
raw total energy	-0.140	Ha/atom
ΔE to the lowest computed polymorph	260.1	meV/atom

Cell: 2.9131 2.9131 10.4555 Å, 90.00 90.00 120.00°
Last column: nearest neighbours and their distance in Å.
Space group P-6m2 (No. 187)
Asymmetric unit:
Ag 0.0000 0.0000 0.0000  6 Ag 2.91, 6 As 2.97
As 0.0000 0.0000 0.5000  12 As 2.91-3.25
As 0.6667 0.3333 0.2343  9 As 2.91-3.25, 3 Ag 2.97

***

The following is a DFT calculation (PBE-GGA) of a relaxed AgAs crystal.

Computed properties:
energy of formation from the pure elements	0.132	eV/atom
magnetic moment	0.00	μB/f.u.
raw total energy	-0.133	Ha/atom
ΔE to the lowest computed polymorph	23.1	meV/atom

Cell: 2.9405 10.1787 8.3288 Å, 90.00 90.00 90.00°
Last column: nearest neighbours and their distance in Å.
Space group Amm2 (No. 38)
Asymmetric unit:
Ag 0.0000 0.0000 0.0000  1 As 2.63, 6 Ag 2.92-2.94
Ag 0.5000 0.1439 0.2464  4 As 2.77-2.86, 5 Ag 2.92-2.94
As 0.0000 0.0000 0.6844  2 As 2.51, 1 Ag 2.63
As 0.0000 0.2049 0.5175  1 As 2.51, 2 Ag 2.77

***

The following is a DFT calculation (PBE-GGA) of a relaxed AgAs5 crystal.

Computed properties:
energy of formation from the pure elements	0.115	eV/atom
magnetic moment	0.00	μB/f.u.
raw total energy	-0.156	Ha/atom
ΔE to the lowest computed polymorph	0.0	meV/atom

Cell: 3.8125 11.9329 5.4145 Å, 90.00 90.00 90.00°
Last column: nearest neighbours and their distance in Å.
Space group Cmmm (No. 65)
Asymmetric unit:
Ag 0.0000 0.0000 0.0000  6 As 2.71-2.86
As 0.0000 0.0000 0.5000  2 Ag 2.71, 4 As 2.78
As 0.0000 0.3214 0.0000  4 As 2.56-2.71, 2 Ag 2.86
As 0.0000 0.3309 0.5000  6 As 2.71-2.78

***

The following is a DFT calculation (PBE-GGA) of a relaxed AgAs5 crystal.

Computed properties:
energy of formation from the pure elements	0.555	eV/atom
magnetic moment	0.00	μB/f.u.
raw total energy	-0.139	Ha/atom
ΔE to the lowest computed polymorph	439.9	meV/atom

Cell: 7.8835 7.8835 7.8835 Å, 90.00 90.00 90.00°
Last column: nearest neighbours and their distance in Å.
Space group F-43m (No. 216)
Asymmetric unit:
Ag 0.0000 0.0000 0.0000  16 As 3.27-3.41
As 0.1249 0.1249 0.3751  6 As 2.79
As 0.2500 0.2500 0.7500  12 As 3.27, 4 Ag 3.41

***

The following is a DFT calculation (PBE-GGA) of a relaxed AgAs crystal.

Computed properties:
energy of formation from the pure elements	0.220	eV/atom
magnetic moment	0.00	μB/f.u.
raw total energy	-0.130	Ha/atom
ΔE to the lowest computed polymorph	111.4	meV/atom

Cell: 2.9411 10.9441 4.7349 Å, 90.00 90.00 90.00°
Last column: nearest neighbours and their distance in Å.
Space group Cmcm (No. 63)
Asymmetric unit:
Ag 0.0000 0.0950 0.2500  7 As 2.83-3.03, 4 Ag 2.94-3.15
As 0.0000 0.3532 0.2500  7 Ag 2.83-3.03, 2 As 2.94

***

The following is a DFT calculation (PBE-GGA) of a relaxed Ag3As2 crystal.

Computed properties:
energy of formation from the pure elements	0.303	eV/atom
magnetic moment	0.00	μB/f.u.
raw total energy	-0.120	Ha/atom
ΔE to the lowest computed polymorph	102.8	meV/atom

Cell: 6.6132 6.6132 17.5540 Å, 90.00 90.00 120.00°
Last column: nearest neighbours and their distance in Å.
Space group R-3c (No. 167, hexagonal axes)
Asymmetric unit:
Ag 0.0000 0.2535 0.2500  4 As 2.61-2.76, 2 Ag 2.90
As 0.0000 0.0000 0.1249  6 Ag 2.61-2.76